No. 1
A plane-wave DFT calculation with GGA-PBE was carried out for a geometry-optimized Pm2YI6 structure.

POSCAR file:
```
Pm2YI6
1.0
4.0534 0.0000 -0.9288
-0.6671 9.1741 -2.9114
0.2485 -0.8130 10.3943
I Pm Y
6 2 1
Direct
0.6609 0.5951 0.3219
0.6617 0.0953 0.3234
0.9952 0.7604 0.9905
0.0048 0.2396 0.0095
0.3391 0.4049 0.6781
0.3383 0.9047 0.6766
0.1779 0.3619 0.3558
0.8221 0.6381 0.6442
0.5000 0.0000 0.0000
```

Calculated values
density: 5.00 g/cm3
V: 378.6 Å³/f.u.
calculated total energy: -4.081 eV per atom
size of the total moment: 1.1 μB per cell
E above lowest polymorph: 0.0 meV per atom
formation energy (no corrections): -1273.2 meV/atom

=====

No. 2
A plane-wave DFT calculation with GGA-PBE was carried out for a geometry-optimized Na2Zn2Rh structure.

POSCAR file:
```
Na2Zn2Rh
1.0
-6.2862 -1.4927 0.3930
1.3484 -6.1124 -1.6489
0.5741 -1.1611 4.7735
Zn Rh Na
4 2 4
Direct
0.1458 0.3542 0.0000
0.8542 0.6458 0.0000
0.6458 0.1458 0.0000
0.3542 0.8542 0.0000
0.0000 0.0000 0.0000
0.5000 0.5000 0.0000
0.8161 0.3161 0.5000
0.3161 0.1839 0.5000
0.1839 0.6839 0.5000
0.6839 0.8161 0.5000
```

Calculated values
density: 4.48 g/cm3
V: 103.6 Å³/f.u.
formation energy from the elements: 0.037 eV per atom
calculated total energy: -2.471 eV per atom
size of the total moment: 0.0 μB per cell

=====

No. 3
A plane-wave DFT calculation with GGA-PBE was carried out for a geometry-optimized AcTbSmTh structure.

POSCAR file:
```
AcTbSmTh
1.0
-1.5413 2.4549 -2.2879
1.5466 -1.7146 -2.8818
-8.4054 -6.0993 -0.8821
Sm Tb Ac Th
1 1 1 1
Direct
0.5000 0.5000 0.7995
0.5000 0.5000 0.3424
0.0000 0.0000 0.0738
0.0000 0.0000 0.5691
```

Calculated values
density: 8.98 g/cm3
V: 142.1 Å³/f.u.
formation energy from the elements: 0.043 eV per atom
calculated total energy: -5.177 eV per atom
size of the total moment: 0.0 μB per cell
E above lowest polymorph: 0.0 meV per atom

=====

No. 4
A plane-wave DFT calculation with GGA-PBE was carried out for a geometry-optimized LiRhW2 structure.

POSCAR file:
```
LiRhW2
1.0
-0.9211 -3.8931 2.2770
0.0412 -4.6007 -0.1449
4.5776 -0.5576 1.9819
Li W Rh
1 2 1
Direct
0.5049 0.5049 0.4980
0.7490 0.7490 0.7327
0.9929 0.9929 0.0089
0.2532 0.2532 0.2604
```

Calculated values
density: 13.38 g/cm3
V: 59.3 Å³/f.u.
formation energy from the elements: 0.218 eV per atom
calculated total energy: -8.574 eV per atom
size of the total moment: 0.0 μB per cell
E above lowest polymorph: 93.4 meV per atom

=====

No. 5
A plane-wave DFT calculation with GGA-PBE was carried out for a geometry-optimized LaIr2Se structure.

POSCAR file:
```
LaIr2Se
1.0
3.1697 0.0017 0.0000
-0.0020 3.1697 0.0000
0.0000 0.0000 7.5761
Ir Se La
2 1 1
Direct
0.0000 0.0000 0.9537
0.0000 0.0000 0.5463
0.5000 0.5000 0.7500
0.5000 0.5000 0.2500
```

Calculated values
density: 13.14 g/cm3
V: 76.1 Å³/f.u.
calculated total energy: -6.525 eV per atom
size of the total moment: 0.0 μB per cell
E above lowest polymorph: 562.8 meV per atom
formation energy (no corrections): 8.6 meV/atom

=====

No. 6
A plane-wave DFT calculation with GGA-PBE was carried out for a geometry-optimized PtRh2Br structure.

POSCAR file:
```
PtRh2Br
1.0
4.7947 -0.1772 0.0000
1.4010 4.5889 0.0000
-3.0978 -2.2058 2.9254
Rh Pt Br
2 1 1
Direct
0.2500 0.7500 0.5000
0.0000 0.0000 0.0000
0.7500 0.2500 0.5000
0.5000 0.5000 0.0000
```

Calculated values
density: 12.27 g/cm3
V: 65.1 Å³/f.u.
calculated total energy: -4.898 eV per atom
size of the total moment: 1.9 μB per cell
E above lowest polymorph: 408.3 meV per atom
formation energy (no corrections): 706.5 meV/atom

=====

No. 7
A plane-wave DFT calculation with GGA-PBE was carried out for a geometry-optimized La3MnPt8 structure.

POSCAR file:
```
La3MnPt8
1.0
5.2765 0.0000 1.5650
2.4061 4.6959 1.5650
0.0459 0.0281 9.5226
Pt La Mn
8 3 1
Direct
0.5624 0.5624 0.8150
0.5593 0.0605 0.3196
0.5624 0.0601 0.8150
0.0605 0.5593 0.3196
0.0601 0.5624 0.8150
0.8103 0.8103 0.5691
0.3110 0.3110 0.0670
0.0605 0.0605 0.3196
0.4930 0.4930 0.5210
0.0095 0.0095 0.9716
0.6222 0.6222 0.1333
0.1386 0.1386 0.5841
```

Calculated values
density: 14.33 g/cm3
V: 235.5 Å³/f.u.
formation energy from the elements: -0.908 eV per atom
calculated total energy: -6.931 eV per atom
size of the total moment: 4.6 μB per cell

=====

No. 8
A plane-wave DFT calculation with GGA-PBE was carried out for a geometry-optimized Y2HoSc structure.

POSCAR file:
```
Y2HoSc
1.0
-3.5582 0.0457 -0.1737
-1.9822 -5.7099 2.5781
-2.0943 -0.7320 6.1852
Sc Ho Y
1 1 2
Direct
0.7500 0.6654 0.8346
0.2500 0.1713 0.3287
0.4955 0.5866 0.4234
0.0045 0.0766 0.9134
```

Calculated values
density: 5.32 g/cm3
V: 121.1 Å³/f.u.
formation energy from the elements: 0.025 eV per atom
calculated total energy: -5.935 eV per atom
size of the total moment: 0.0 μB per cell
E above lowest polymorph: 0.0 meV per atom

=====

No. 9
A plane-wave DFT calculation with GGA-PBE was carried out for a geometry-optimized Be2Ag2Ru structure.

POSCAR file:
```
Be2Ag2Ru
1.0
-1.8074 1.8074 5.2083
1.8074 -1.8074 5.2083
1.8074 1.8074 -5.2083
Ag Be Ru
2 2 1
Direct
0.2500 0.7500 0.5000
0.7500 0.2500 0.5000
0.4042 0.4042 0.0000
0.5958 0.5958 0.0000
0.0000 0.0000 0.0000
```

Calculated values
density: 8.17 g/cm3
V: 68.1 Å³/f.u.
formation energy from the elements: 0.427 eV per atom
calculated total energy: -4.059 eV per atom
size of the total moment: 0.0 μB per cell
E above lowest polymorph: 0.0 meV per atom

=====

No. 10
A plane-wave DFT calculation with GGA-PBE was carried out for a geometry-optimized Ac12Cd3Ni5 structure.

POSCAR file:
```
Ac12Cd3Ni5
1.0
15.7325 0.0000 0.0000
-5.2442 14.8327 0.0000
-5.2442 -7.4164 12.8455
Cd Ni Ac
12 20 48
Direct
0.8750 0.7500 0.1250
0.7500 0.3750 0.1250
0.2500 0.6250 0.8750
0.2500 0.1250 0.3750
0.8750 0.1250 0.2500
0.3750 0.7500 0.6250
0.6250 0.3750 0.7500
0.1250 0.2500 0.8750
0.3750 0.6250 0.2500
0.6250 0.2500 0.3750
0.7500 0.8750 0.6250
0.1250 0.8750 0.7500
0.6250 0.8750 0.2500
0.8750 0.6250 0.7500
0.3750 0.2500 0.1250
0.3750 0.1250 0.7500
0.1250 0.7500 0.3750
0.7500 0.6250 0.3750
0.8750 0.2500 0.6250
0.5000 0.0000 0.5000
0.5000 0.5000 0.0000
0.0000 0.0000 0.0000
0.0000 0.5000 0.0000
0.0000 0.5000 0.5000
0.1250 0.3750 0.2500
0.5000 0.0000 0.0000
0.7500 0.1250 0.8750
0.6250 0.7500 0.8750
0.2500 0.3750 0.6250
0.2500 0.8750 0.1250
0.5000 0.5000 0.5000
0.0000 0.0000 0.5000
0.8798 0.5859 0.9082
0.8222 0.9082 0.0284
0.7939 0.3222 0.9141
0.1778 0.0918 0.9716
0.1202 0.7061 0.5284
0.7061 0.1202 0.0284
0.1778 0.0859 0.7061
0.4716 0.7939 0.8798
0.4141 0.2939 0.3222
0.6202 0.0284 0.2061
0.0284 0.6202 0.7061
0.9716 0.5918 0.1778
0.7939 0.4716 0.3798
0.5918 0.6202 0.4141
0.3222 0.7939 0.4141
0.4716 0.6778 0.0918
0.6202 0.5918 0.9141
0.9716 0.3798 0.2939
0.0918 0.9141 0.1202
0.2939 0.4141 0.8222
0.4082 0.3798 0.5859
0.0284 0.4082 0.8222
0.3798 0.4082 0.0859
0.5284 0.3222 0.9082
0.7061 0.5859 0.1778
0.9141 0.8222 0.7939
0.4082 0.0284 0.3222
0.2061 0.6778 0.0859
0.0918 0.1778 0.4716
0.9082 0.0859 0.8798
0.3222 0.5284 0.4082
0.2061 0.5284 0.6202
0.0859 0.1778 0.2061
0.0859 0.9082 0.3798
0.5859 0.8798 0.4082
0.9082 0.8222 0.5284
0.8798 0.2939 0.4716
0.3798 0.9716 0.7939
0.6778 0.4716 0.5918
0.2939 0.8798 0.9716
0.5284 0.2061 0.1202
0.9141 0.0918 0.6202
0.5918 0.9716 0.6778
0.8222 0.9141 0.2939
0.6778 0.2061 0.5859
0.5859 0.7061 0.6778
0.4141 0.1202 0.5918
0.1202 0.4141 0.0918
```

Calculated values
density: 7.43 g/cm3
V: 749.4 Å³/f.u.
formation energy from the elements: -0.002 eV per atom
calculated total energy: -4.050 eV per atom
size of the total moment: 0.0 μB per cell

=====

No. 11
A plane-wave DFT calculation with GGA-PBE was carried out for a geometry-optimized LiTeAsBr2 structure.

POSCAR file:
```
LiTeAsBr2
1.0
5.9130 0.0000 0.0000
0.0000 5.9130 0.0000
0.0000 0.0000 5.2847
Te Br Li As
1 2 1 1
Direct
0.0000 0.0000 0.0000
0.5000 0.0000 0.0000
0.0000 0.5000 0.0000
0.5000 0.5000 0.5000
0.0000 0.0000 0.5000
```

Calculated values
density: 3.32 g/cm3
V: 184.8 Å³/f.u.
calculated total energy: -2.599 eV per atom
size of the total moment: 0.0 μB per cell
E above lowest polymorph: 0.0 meV per atom
formation energy (no corrections): 11.2 meV/atom

=====

No. 12
A plane-wave DFT calculation with GGA-PBE was carried out for a geometry-optimized CoSeCl structure.

POSCAR file:
```
CoSeCl
1.0
3.3780 0.0000 0.0000
0.0000 6.0965 0.0503
0.0000 -2.2965 6.6468
Cl Co Se
2 2 2
Direct
0.7500 0.6470 0.6960
0.2500 0.3530 0.3040
0.7500 0.2491 0.5021
0.2500 0.7509 0.4979
0.7500 0.8581 0.3206
0.2500 0.1419 0.6794
```

Calculated values
density: 4.19 g/cm3
V: 68.6 Å³/f.u.
calculated total energy: -4.609 eV per atom
size of the total moment: 0.0 μB per cell
formation energy (no corrections): -462.9 meV/atom

=====

No. 13
A plane-wave DFT calculation with GGA-PBE was carried out for a geometry-optimized AcYHg4 structure.

POSCAR file:
```
AcYHg4
1.0
4.5820 0.0000 -0.0002
-0.0001 4.5946 -0.0002
0.0047 0.0070 9.1024
Y Hg Ac
1 4 1
Direct
0.0013 0.9973 0.4981
0.5014 0.9971 0.2693
0.0012 0.4975 0.2700
0.5012 0.9975 0.7270
0.0014 0.4971 0.7263
0.5012 0.4973 0.9981
```

Calculated values
density: 9.69 g/cm3
V: 191.6 Å³/f.u.
formation energy from the elements: -0.209 eV per atom
calculated total energy: -2.172 eV per atom
size of the total moment: 0.0 μB per cell
E above lowest polymorph: 199.8 meV per atom

=====

No. 14
A plane-wave DFT calculation with GGA-PBE was carried out for a geometry-optimized Cs2TbCuI6 structure.

POSCAR file:
```
Cs2TbCuI6
1.0
-5.1579 -6.5255 1.6183
5.1417 -4.6266 4.3341
-2.0334 -2.6095 8.5555
I Tb Cu Cs
6 1 1 2
Direct
0.1807 0.2903 0.9992
0.6631 0.2191 0.9990
0.8193 0.7097 0.0008
0.7697 0.7712 0.4589
0.2303 0.2288 0.5411
0.3369 0.7809 0.0010
0.0000 0.0000 0.0000
0.5000 0.5000 0.0000
0.7438 0.2435 0.5131
0.2562 0.7565 0.4869
```

Calculated values
density: 4.58 g/cm3
V: 453.5 Å³/f.u.
calculated total energy: -3.152 eV per atom
size of the total moment: 0.0 μB per cell
formation energy (no corrections): -1178.4 meV/atom

=====

No. 15
A plane-wave DFT calculation with GGA-PBE was carried out for a geometry-optimized LiNiPd6 structure.

POSCAR file:
```
LiNiPd6
1.0
-0.9434 3.6559 0.9205
-3.5925 1.7865 -2.5737
-5.6410 -0.5270 4.5156
Pd Li Ni
6 1 1
Direct
0.7498 0.6261 0.8742
0.7520 0.1211 0.3749
0.2502 0.3739 0.1258
0.2480 0.8789 0.6251
0.5021 0.7427 0.2531
0.4979 0.2573 0.7469
0.0000 0.0000 0.0000
0.0000 0.5000 0.5000
```

Calculated values
density: 9.99 g/cm3
V: 117.1 Å³/f.u.
formation energy from the elements: -0.097 eV per atom
calculated total energy: -4.954 eV per atom
size of the total moment: 2.2 μB per cell
E above lowest polymorph: 0.0 meV per atom

=====

No. 16
A plane-wave DFT calculation with GGA-PBE was carried out for a geometry-optimized BeSiCl structure.

POSCAR file:
```
BeSiCl
1.0
-2.4326 -0.6682 -2.7407
3.5652 -1.9202 -5.2272
0.3914 -6.6932 -0.5592
Si Cl Be
2 2 2
Direct
0.7285 0.6061 0.4133
0.2715 0.3939 0.5867
0.9597 0.8980 0.7507
0.0403 0.1020 0.2493
0.1068 0.7903 0.4950
0.8932 0.2097 0.5050
```

Calculated values
density: 1.65 g/cm3
V: 72.9 Å³/f.u.
calculated total energy: -3.898 eV per atom
size of the total moment: 0.0 μB per cell
E above lowest polymorph: 39.6 meV per atom
formation energy (no corrections): -232.4 meV/atom

=====

No. 17
A plane-wave DFT calculation with GGA-PBE was carried out for a geometry-optimized TbDy2Ga2Pt7 structure.

POSCAR file:
```
TbDy2Ga2Pt7
1.0
-0.4303 0.8831 -3.9314
-4.0334 -0.1137 0.3736
-1.9609 13.8905 1.5752
Pt Dy Tb Ga
7 2 1 2
Direct
0.6520 0.6520 0.5644
0.0646 0.5647 0.8440
0.3480 0.3480 0.4356
0.4353 0.9354 0.1560
0.9354 0.4353 0.1560
0.5647 0.0646 0.8440
0.5000 0.5000 0.0000
0.1343 0.1343 0.6434
0.8657 0.8657 0.3566
0.0000 0.0000 0.0000
0.6079 0.6079 0.7392
0.3921 0.3921 0.2608
```

Calculated values
density: 14.46 g/cm3
V: 228.4 Å³/f.u.
formation energy from the elements: -0.986 eV per atom
calculated total energy: -6.167 eV per atom
size of the total moment: 0.0 μB per cell

=====

No. 18
A plane-wave DFT calculation with GGA-PBE was carried out for a geometry-optimized Rb4Th3PaTe8 structure.

POSCAR file:
```
Rb4Th3PaTe8
1.0
-3.2729 2.8688 7.8318
8.2552 -3.6838 4.7992
1.5825 5.8442 -6.6046
Rb Te Th Pa
4 8 3 1
Direct
0.0000 0.0000 0.0000
0.5000 0.0000 0.0000
0.0000 0.0000 0.5000
0.5000 0.0000 0.5000
0.7654 0.2904 0.0249
0.7654 0.2904 0.5307
0.2595 0.2904 0.0249
0.2346 0.7096 0.9751
0.7405 0.7096 0.9751
0.2346 0.7096 0.4693
0.2628 0.2887 0.5257
0.7372 0.7113 0.4743
0.5000 0.5000 0.5000
0.5000 0.5000 0.0000
0.0000 0.5000 0.5000
0.0000 0.5000 0.0000
```

Calculated values
density: 6.19 g/cm3
V: 613.9 Å³/f.u.
calculated total energy: -4.893 eV per atom
size of the total moment: 2.3 μB per cell
formation energy (no corrections): -1095.4 meV/atom

=====

No. 19
A plane-wave DFT calculation with GGA-PBE was carried out for a geometry-optimized MgAu2 structure.

POSCAR file:
```
MgAu2
1.0
5.2422 -0.2674 -0.0226
3.9571 3.4487 -0.0226
-7.2166 -2.4956 5.6855
Mg Au
2 4
Direct
0.6663 0.6663 0.3037
0.7782 0.7782 0.0852
0.3019 0.3019 0.6038
0.1425 0.1425 0.7851
0.9744 0.9744 0.9649
0.4700 0.4700 0.4240
```

Calculated values
density: 12.85 g/cm3
V: 54.1 Å³/f.u.
formation energy from the elements: -0.426 eV per atom
calculated total energy: -3.142 eV per atom
size of the total moment: 0.0 μB per cell

=====

No. 20
A plane-wave DFT calculation with GGA-PBE was carried out for a geometry-optimized Pm2Dy6TmSc3 structure.

POSCAR file:
```
Pm2Dy6TmSc3
1.0
6.0575 0.0001 0.0013
-3.0272 5.2468 0.0013
-1.0111 -1.7508 11.3150
Pm Sc Tm Dy
2 3 1 6
Direct
0.3333 0.6667 0.0000
0.6667 0.3333 0.0000
0.1663 0.8337 0.5000
0.8337 0.1663 0.5000
0.5000 0.5000 0.5000
0.0000 0.0000 0.0000
0.9131 0.5804 0.7395
0.2457 0.2457 0.7395
0.7543 0.7543 0.2605
0.5804 0.9131 0.7395
0.0869 0.4196 0.2605
0.4196 0.0869 0.2605
```

Calculated values
density: 7.24 g/cm3
V: 359.7 Å³/f.u.
formation energy from the elements: 0.045 eV per atom
calculated total energy: -5.004 eV per atom
size of the total moment: 0.0 μB per cell

=====

No. 21
A plane-wave DFT calculation with GGA-PBE was carried out for a geometry-optimized HoErCo2Ge2 structure.

POSCAR file:
```
HoErCo2Ge2
1.0
-2.9315 -0.5929 2.9155
0.1189 -2.4609 -3.3728
4.2810 -4.4520 3.3992
Ge Ho Co Er
2 1 2 1
Direct
0.3333 0.6667 0.2549
0.6667 0.3333 0.7451
0.0000 0.0000 0.0000
0.6667 0.3333 0.2622
0.3333 0.6667 0.7378
0.0000 0.0000 0.5000
```

Calculated values
density: 9.28 g/cm3
V: 106.5 Å³/f.u.
formation energy from the elements: -0.606 eV per atom
calculated total energy: -6.037 eV per atom
size of the total moment: 0.0 μB per cell